First-principles (PBE-GGA) data for a relaxed structure of HBr2Cl, as listed in Alexandria. Values from VASP.

Geometry as Quantum ESPRESSO input:
```
&SYSTEM
  ibrav = 0, nat = 4, ntyp = 3
/
ATOMIC_SPECIES
H 1.01 H.upf
Cl 35.45 Cl.upf
Br 79.90 Br.upf
ATOMIC_POSITIONS crystal
H 0.7501 0.2501 0.5002
Cl 0.2498 0.7498 0.4996
Br 0.0001 0.0001 0.0001
Br 0.5001 0.5000 0.0001
CELL_PARAMETERS angstrom
5.9148 -0.7374 -1.2508
-4.0137 4.4069 -1.2512
0.3822 0.7378 6.0366
```

Computed properties:
The calculation puts the mass density at 2.16 g/cm3. For the density of states at the Fermi level, the calculation gives 1.040 states/eV/atom. The calculated total energy comes out at -1.405 eV/atom.

First-principles (PBE-GGA) data for a relaxed structure of HBrCl2, as listed in Alexandria. Values from VASP.

Geometry as Quantum ESPRESSO input:
```
&SYSTEM
  ibrav = 0, nat = 4, ntyp = 3
/
ATOMIC_SPECIES
H 1.01 H.upf
Cl 35.45 Cl.upf
Br 79.90 Br.upf
ATOMIC_POSITIONS crystal
H 0.0000 0.0000 0.0000
Cl 0.2500 0.2500 0.2500
Cl 0.7500 0.7500 0.7500
Br 0.5000 0.5000 0.5000
CELL_PARAMETERS angstrom
0.0000 3.5301 3.5301
3.5301 0.0000 3.5301
3.5301 3.5301 0.0000
```

Computed properties:
The calculation puts the mass density at 2.87 g/cm3. For the density of states at the Fermi level, the calculation gives 0.894 states/eV/atom. The calculated total energy comes out at -1.095 eV/atom.

First-principles (PBE-GGA) data for a relaxed structure of HBrCl2, as listed in Alexandria. Values from VASP.

Geometry as Quantum ESPRESSO input:
```
&SYSTEM
  ibrav = 0, nat = 8, ntyp = 3
/
ATOMIC_SPECIES
Cl 35.45 Cl.upf
Br 79.90 Br.upf
H 1.01 H.upf
ATOMIC_POSITIONS crystal
Cl 0.8750 0.7309 0.7500
Cl 0.3750 0.5191 0.7500
Cl 0.2691 0.6250 0.2500
Cl 0.4809 0.1250 0.2500
Br 0.7500 0.2500 0.5000
Br 0.0000 0.0000 0.0000
H 0.5000 0.5000 0.0000
H 0.2500 0.7500 0.5000
CELL_PARAMETERS angstrom
-3.4302 -4.7574 -1.2917
-0.8146 -1.0049 5.8646
-5.8245 -0.1972 2.2322
```

Computed properties:
The calculation puts the mass density at 3.06 g/cm3. For the density of states at the Fermi level, the calculation gives 0.023 states/eV/atom. The calculated total energy comes out at -1.679 eV/atom.

First-principles (PBE-GGA) data for a relaxed structure of HBr2Cl, as listed in Alexandria. Values from VASP.

Geometry as Quantum ESPRESSO input:
```
&SYSTEM
  ibrav = 0, nat = 4, ntyp = 3
/
ATOMIC_SPECIES
Br 79.90 Br.upf
H 1.01 H.upf
Cl 35.45 Cl.upf
ATOMIC_POSITIONS crystal
Br 0.1095 0.1095 0.1095
Br 0.8905 0.8905 0.8905
H 0.5000 0.5000 0.5000
Cl 0.0000 0.0000 0.0000
CELL_PARAMETERS angstrom
2.1706 0.0000 7.4244
-1.0853 1.8798 7.4244
-1.0853 -1.8798 7.4244
```

Computed properties:
The calculation puts the mass density at 3.59 g/cm3. For the density of states at the Fermi level, the calculation gives 0.098 states/eV/atom. The calculated total energy comes out at -1.636 eV/atom.

First-principles (PBE-GGA) data for a relaxed structure of HBr2Cl8, as listed in Alexandria. Values from VASP.

Geometry as Quantum ESPRESSO input:
```
&SYSTEM
  ibrav = 0, nat = 11, ntyp = 3
/
ATOMIC_SPECIES
Cl 35.45 Cl.upf
Br 79.90 Br.upf
H 1.01 H.upf
ATOMIC_POSITIONS crystal
Cl 0.2741 0.3670 0.9794
Cl 0.7259 0.6330 0.0206
Cl 0.7680 0.1001 0.4408
Cl 0.5658 0.0235 0.1125
Cl 0.4342 0.9765 0.8875
Cl 0.2320 0.8999 0.5592
Cl 0.0774 0.5946 0.8416
Cl 0.9226 0.4054 0.1584
Br 0.7603 0.8866 0.6898
Br 0.2397 0.1134 0.3102
H 0.0000 0.0000 0.0000
CELL_PARAMETERS angstrom
8.5863 0.7029 -1.0727
0.1341 7.4018 3.4831
-2.4312 -0.0335 8.3386
```

Computed properties:
The calculation puts the mass density at 1.46 g/cm3. For the density of states at the Fermi level, the calculation gives 0.000 states/eV/atom. The calculated total energy comes out at -1.737 eV/atom.

First-principles (PBE-GGA) data for a relaxed structure of HBrCl3, as listed in Alexandria. Values from VASP.

Geometry as Quantum ESPRESSO input:
```
&SYSTEM
  ibrav = 0, nat = 5, ntyp = 3
/
ATOMIC_SPECIES
Br 79.90 Br.upf
H 1.01 H.upf
Cl 35.45 Cl.upf
ATOMIC_POSITIONS crystal
Br 0.5000 0.5000 0.5000
H 0.0000 0.0000 0.0000
Cl 0.0000 0.5000 0.0000
Cl 0.5000 0.0000 0.0000
Cl 0.0000 0.0000 0.5000
CELL_PARAMETERS angstrom
4.4859 0.0000 0.0000
0.0000 4.4859 0.0000
0.0000 0.0000 4.4859
```

Computed properties:
The calculation puts the mass density at 3.44 g/cm3. For the density of states at the Fermi level, the calculation gives 0.886 states/eV/atom. The calculated total energy comes out at -1.360 eV/atom.